1.
The following is a DFT calculation (PBE-GGA) of crystalline Zn5Si at its relaxed geometry.

For the total energy, the calculation gives -1.8525 eV per atom. Its space-group type is No. 12.

Cell lengths 5.9081, 5.9081, 5.6980 Å; angles 80.94, 80.94, 27.89 degrees
Fractional coordinates of all 6 atoms:
Zn: 0.3626 0.3626 0.2717
Si: 0.0278 0.0278 0.9445
Zn: 0.3629 0.3629 0.7797
Zn: 0.0277 0.0277 0.4445
Zn: 0.6927 0.6927 0.1093
Zn: 0.6930 0.6930 0.6170

2.
The following is a DFT calculation (PBE-GGA) of crystalline AlCr2Cd at its relaxed geometry.

The calculation puts the formation enthalpy at 0 K at 1.1 eV/f.u. Its space-group type is No. 216.

Cell lengths 4.4770, 4.4770, 4.4770 Å; angles 60.00, 60.00, 60.00 degrees
Each line ends with the local moment (μB).
Fractional coordinates of all 4 atoms:
Cr: 0.2500 0.2500 0.2500  -2.82
Cr: 0.0000 0.0000 0.0000  3.10
Al: 0.5000 0.5000 0.5000  -0.01
Cd: 0.7500 0.7500 0.7500  0.04

3.
The following is a DFT calculation (PBE-GGA) of crystalline ScAsO4 at its relaxed geometry.

For the total energy, the calculation gives -7.2610 eV per atom. Its space-group type is No. 30.

Cell lengths 4.7020, 5.0476, 5.3943 Å; angles 90.00, 90.00, 90.00 degrees
Fractional coordinates of all 12 atoms:
O: 0.2533 0.8410 0.1040
O: 0.3117 0.2999 0.3832
O: 0.6883 0.7001 0.3832
Sc: 0.0000 0.5000 0.1961
O: 0.2467 0.8410 0.6040
As: 0.5000 0.0000 0.3296
O: 0.8117 0.7001 0.8832
O: 0.7467 0.1590 0.1040
As: 0.0000 0.0000 0.8296
Sc: 0.5000 0.5000 0.6961
O: 0.7533 0.1590 0.6040
O: 0.1883 0.2999 0.8832

What is the formula in the third record?
ScAsO4